(1)
{
  "formula": "Al2SiRh2",
  "functional": "PBE-GGA",
  "state": "relaxed",
  "cell": [[6.284, 0.000, 0.000], [0.000, 6.284, 0.000], [0.000, 0.000, 3.788]],
  "species": ["Al", "Al", "Al", "Al", "Si", "Si", "Rh", "Rh", "Rh", "Rh"],
  "frac_coords": [[0.151, 0.349, 0.000], [0.349, 0.849, 0.000], [0.651, 0.151, 0.000], [0.849, 0.651, 0.000], [0.000, 0.000, 0.500], [0.500, 0.500, 0.500], [0.159, 0.659, 0.500], [0.341, 0.159, 0.500], [0.659, 0.841, 0.500], [0.841, 0.341, 0.500]]
}

***

(2)
{
  "formula": "SrMnN2",
  "functional": "PBE-GGA",
  "state": "relaxed",
  "cell": [[-2.545, 2.545, 4.516], [2.545, -2.545, 4.516], [2.545, 2.545, -4.516]],
  "species": ["Sr", "Sr", "Mn", "Mn", "N", "N", "N", "N"],
  "frac_coords": [[0.000, 0.000, 0.000], [0.750, 0.250, 0.500], [0.250, 0.750, 0.500], [0.500, 0.500, 0.000], [0.256, 0.625, 0.131], [0.375, 0.506, 0.631], [0.494, 0.125, 0.869], [0.875, 0.744, 0.369]]
}

***

(3)
{
  "formula": "TmZn10Ni2",
  "functional": "PBE-GGA",
  "state": "relaxed",
  "cell": [[0.000, 6.188, 6.286], [2.503, 0.000, 6.286], [2.503, 6.188, 0.000]],
  "species": ["Tm", "Zn", "Zn", "Zn", "Zn", "Zn", "Zn", "Zn", "Zn", "Zn", "Zn", "Ni", "Ni"],
  "frac_coords": [[0.000, 0.000, 0.000], [0.000, 0.500, 0.000], [0.015, 0.654, 0.346], [0.285, 0.507, 0.493], [0.346, 0.985, 0.015], [0.493, 0.715, 0.285], [0.500, 0.000, 0.500], [0.507, 0.285, 0.715], [0.654, 0.015, 0.985], [0.715, 0.493, 0.507], [0.985, 0.346, 0.654], [0.000, 0.000, 0.500], [0.500, 0.500, 0.000]],
  "formation_energy_ev_per_atom": -0.220,
  "polymorph_energy_kj_per_mol_fu": 29
}

***

(4)
{
  "formula": "MnBe3Pd",
  "functional": "PBE-GGA",
  "state": "relaxed",
  "cell": [[3.934, 0.000, 0.000], [0.000, 3.934, 0.000], [0.000, 0.000, 3.934]],
  "species": ["Mn", "Be", "Be", "Be", "Pd"],
  "frac_coords": [[0.000, 0.000, 0.000], [0.000, 0.000, 0.500], [0.000, 0.500, 0.000], [0.500, 0.000, 0.000], [0.500, 0.500, 0.500]],
  "formation_energy_ev_per_atom": 0.810,
  "polymorph_energy_kj_per_mol_fu": 129
}

***

(5)
{
  "formula": "Li5SnSe5",
  "functional": "PBE-GGA",
  "state": "relaxed",
  "cell": [[6.340, -2.721, 0.000], [6.340, 2.721, 0.000], [-2.173, 0.000, 7.144]],
  "species": ["Li", "Li", "Li", "Li", "Li", "Sn", "Se", "Se", "Se", "Se", "Se"],
  "frac_coords": [[0.000, 0.000, 0.000], [0.313, 0.313, 0.633], [0.328, 0.328, 0.193], [0.672, 0.672, 0.807], [0.687, 0.687, 0.367], [0.000, 0.000, 0.500], [0.151, 0.151, 0.313], [0.160, 0.160, 0.831], [0.500, 0.500, 0.500], [0.840, 0.840, 0.169], [0.849, 0.849, 0.687]]
}

***

(6)
{
  "formula": "Sm6Dy2Ho5",
  "functional": "PBE-GGA",
  "state": "relaxed",
  "cell": [[11.667, 0.000, 0.000], [0.000, 20.377, 0.000], [0.000, 0.000, 3.602]],
  "species": ["Sm", "Sm", "Sm", "Sm", "Sm", "Sm", "Sm", "Sm", "Sm", "Sm", "Sm", "Sm", "Dy", "Dy", "Dy", "Dy", "Ho", "Ho", "Ho", "Ho", "Ho", "Ho", "Ho", "Ho", "Ho", "Ho"],
  "frac_coords": [[0.060, 0.080, 0.000], [0.082, 0.367, 0.000], [0.173, 0.634, 0.500], [0.327, 0.134, 0.500], [0.418, 0.867, 0.000], [0.440, 0.580, 0.000], [0.560, 0.420, 0.000], [0.582, 0.133, 0.000], [0.673, 0.866, 0.500], [0.827, 0.366, 0.500], [0.918, 0.633, 0.000], [0.940, 0.920, 0.000], [0.166, 0.789, 0.000], [0.334, 0.289, 0.000], [0.666, 0.711, 0.000], [0.834, 0.211, 0.000], [0.000, 0.500, 0.500], [0.092, 0.226, 0.500], [0.198, 0.946, 0.500], [0.302, 0.446, 0.500], [0.408, 0.726, 0.500], [0.500, 0.000, 0.500], [0.592, 0.274, 0.500], [0.698, 0.554, 0.500], [0.802, 0.054, 0.500], [0.908, 0.774, 0.500]],
  "formation_energy_ev_per_atom": 0.101
}

***

no.,ρ (g/cm³),calculated total energy (Ry per atom)
1,6.39,-0.4545
2,4.84,-0.5415
3,8.02,-0.1789
4,5.14,-0.3159
5,3.69,-0.2676
6,7.96,-0.3341